Entry 1:
First-principles (PBE) data for crystalline LaCr2Br at its relaxed geometry, as listed in the Alexandria database.

Output
VASP energy: -22.5 eV/cell
SG: No. 123
uncorrected formation energy: 0.83 eV/atom
total magnetization: 0.00 μB per formula unit

Unit cell a=5.267 b=3.925 c=3.925 alpha=90.00 beta=90.00 gamma=90.00
Fractional positions:
La (0.500, 0.500, 0.000)
Cr (0.000, 0.500, 0.500)
Br (0.500, 0.000, 0.500)
Cr (0.000, 0.000, 0.000)

Entry 2:
First-principles (PBE) data for crystalline Re2As at its relaxed geometry, as listed in the Alexandria database.

Output
VASP energy: -26.7 eV/cell
SG: No. 123
total magnetization: 0.00 μB per formula unit

Unit cell a=3.658 b=3.658 c=3.979 alpha=90.00 beta=90.00 gamma=90.00
Fractional positions:
As (0.000, 0.000, 0.000)
Re (0.000, 0.500, 0.500)
Re (0.500, 0.000, 0.500)

Entry 3:
First-principles (PBE) data for crystalline PmTh2Mo at its relaxed geometry, as listed in the Alexandria database.

Output
VASP energy: -29.7 eV/cell
SG: No. 123
total magnetization: 0.00 μB per formula unit

Unit cell a=3.603 b=3.603 c=8.588 alpha=90.00 beta=90.00 gamma=90.00
Fractional positions:
Th (0.000, 0.000, 0.206)
Th (0.000, 0.000, 0.794)
Mo (0.500, 0.500, 0.000)
Pm (0.500, 0.500, 0.500)

Entry 4:
First-principles (PBE) data for crystalline MnSb2Mo at its relaxed geometry, as listed in the Alexandria database.

Output
VASP energy: -25.8 eV/cell
SG: No. 216
uncorrected formation energy: 0.62 eV/atom
total magnetization: 2.85 μB per formula unit

Unit cell a=4.798 b=4.798 c=4.798 alpha=60.00 beta=60.00 gamma=60.00
Site moments in Bohr magnetons follow the coordinates.
Fractional positions:
Sb (0.000, 0.000, 0.000)  0.04
Sb (0.750, 0.750, 0.750)  -0.01
Mn (0.500, 0.500, 0.500)  3.31
Mo (0.250, 0.250, 0.250)  -0.50

Entry 5:
First-principles (PBE) data for crystalline TlBrO4 at its relaxed geometry, as listed in the Alexandria database.

Output
VASP energy: -95.8 eV/cell
SG: No. 62
uncorrected formation energy: -0.01 eV/atom
total magnetization: 0.00 μB per formula unit

Unit cell a=6.268 b=7.885 c=9.428 alpha=90.00 beta=90.00 gamma=90.00
Fractional positions:
O (0.535, 0.195, 0.080)
O (0.250, 0.546, 0.799)
Br (0.250, 0.683, 0.932)
Tl (0.750, 0.834, 0.180)
O (0.250, 0.916, 0.586)
O (0.465, 0.805, 0.920)
Tl (0.250, 0.166, 0.820)
O (0.965, 0.305, 0.580)
O (0.465, 0.695, 0.420)
O (0.535, 0.305, 0.580)
Tl (0.750, 0.666, 0.680)
Br (0.750, 0.183, 0.568)
O (0.750, 0.416, 0.914)
Br (0.250, 0.817, 0.432)
O (0.250, 0.954, 0.299)
O (0.250, 0.584, 0.086)
Tl (0.250, 0.334, 0.320)
O (0.750, 0.046, 0.701)
O (0.750, 0.084, 0.414)
O (0.035, 0.805, 0.920)
O (0.750, 0.454, 0.201)
O (0.035, 0.695, 0.420)
Br (0.750, 0.317, 0.068)
O (0.965, 0.195, 0.080)

Entry 6:
First-principles (PBE) data for crystalline PuPb2Cl8 at its relaxed geometry, as listed in the Alexandria database.

Output
VASP energy: -51.3 eV/cell
SG: No. 12
uncorrected formation energy: -1.34 eV/atom
total magnetization: 3.92 μB per formula unit

Unit cell a=4.224 b=7.822 c=11.093 alpha=88.96 beta=100.98 gamma=90.00
Site moments in Bohr magnetons follow the coordinates.
Fractional positions:
Cl (0.615, 0.972, 0.230)  -0.11
Pb (0.830, 0.388, 0.660)  -0.01
Cl (0.996, 0.787, 0.992)  -0.08
Cl (0.385, 0.028, 0.770)  -0.11
Pu (0.500, 0.000, 0.000)  4.42
Cl (0.766, 0.691, 0.532)  -0.01
Pb (0.170, 0.612, 0.340)  -0.01
Cl (0.400, 0.517, 0.799)  -0.02
Cl (0.234, 0.309, 0.468)  -0.01
Cl (0.004, 0.213, 0.008)  -0.08
Cl (0.600, 0.483, 0.201)  -0.02

Entry 7:
First-principles (PBE) data for crystalline CaIr at its relaxed geometry, as listed in the Alexandria database.

Output
VASP energy: -33.4 eV/cell
SG: No. 216
total magnetization: 1.00 μB per formula unit

Unit cell a=6.528 b=6.528 c=6.528 alpha=90.00 beta=90.00 gamma=90.00
Site moments in Bohr magnetons follow the coordinates.
Fractional positions:
Ir (0.000, 0.500, 0.500)  0.99
Ca (0.750, 0.750, 0.250)  -0.01
Ir (0.500, 0.500, 0.000)  0.99
Ir (0.000, 0.000, 0.000)  0.99
Ca (0.750, 0.250, 0.750)  -0.01
Ca (0.250, 0.750, 0.750)  -0.01
Ca (0.250, 0.250, 0.250)  -0.01
Ir (0.500, 0.000, 0.500)  0.99

Entry 8:
First-principles (PBE) data for crystalline NaSr3In at its relaxed geometry, as listed in the Alexandria database.

Output
VASP energy: -7.2 eV/cell
SG: No. 221
total magnetization: 0.00 μB per formula unit

Unit cell a=6.291 b=6.291 c=6.291 alpha=90.00 beta=90.00 gamma=90.00
Fractional positions:
In (0.500, 0.500, 0.500)
Sr (0.000, 0.500, 0.000)
Na (0.000, 0.000, 0.000)
Sr (0.000, 0.000, 0.500)
Sr (0.500, 0.000, 0.000)

Entry 9:
First-principles (PBE) data for crystalline AlCu2W at its relaxed geometry, as listed in the Alexandria database.

Output
VASP energy: -24.4 eV/cell
SG: No. 12
total magnetization: 0.00 μB per formula unit

Unit cell a=4.907 b=5.127 c=2.612 alpha=78.85 beta=82.64 gamma=116.48
Fractional positions:
W (0.000, 0.500, 0.500)
Cu (0.000, 0.000, 0.000)
Al (0.500, 0.500, 0.000)
Cu (0.500, 0.000, 0.500)

Entry 10:
First-principles (PBE) data for crystalline ZnNi2 at its relaxed geometry, as listed in the Alexandria database.

Output
VASP energy: -26.3 eV/cell
SG: No. 8
total magnetization: 0.31 μB per formula unit

Unit cell a=2.578 b=4.839 c=6.030 alpha=75.71 beta=90.00 gamma=105.45
Site moments in Bohr magnetons follow the coordinates.
Fractional positions:
Zn (0.047, 0.094, 0.400)  -0.01
Ni (0.004, 0.008, 0.997)  0.15
Ni (0.669, 0.338, 0.664)  0.25
Ni (0.330, 0.659, 0.333)  0.12
Zn (0.728, 0.455, 0.048)  -0.01
Ni (0.389, 0.778, 0.724)  0.14

Entry 11:
First-principles (PBE) data for crystalline YPuAgRu at its relaxed geometry, as listed in the Alexandria database.

Output
VASP energy: -33.3 eV/cell
SG: No. 216
total magnetization: 5.48 μB per formula unit

Unit cell a=4.975 b=4.975 c=4.975 alpha=60.00 beta=60.00 gamma=60.00
Site moments in Bohr magnetons follow the coordinates.
Fractional positions:
Y (0.000, 0.000, 0.000)  0.12
Ru (0.750, 0.750, 0.750)  -0.33
Ag (0.250, 0.250, 0.250)  0.05
Pu (0.500, 0.500, 0.500)  5.23

Entry 12:
First-principles (PBE) data for crystalline RbGa3Tc at its relaxed geometry, as listed in the Alexandria database.

Output
VASP energy: -37.3 eV/cell
SG: No. 194
total magnetization: 0.00 μB per formula unit

Unit cell a=4.810 b=4.810 c=10.424 alpha=90.00 beta=90.00 gamma=120.00
Fractional positions:
Tc (0.000, 0.000, 0.500)
Rb (0.333, 0.667, 0.750)
Ga (0.000, 0.000, 0.250)
Ga (0.333, 0.667, 0.448)
Ga (0.000, 0.000, 0.750)
Rb (0.667, 0.333, 0.250)
Tc (0.000, 0.000, 0.000)
Ga (0.333, 0.667, 0.052)
Ga (0.667, 0.333, 0.948)
Ga (0.667, 0.333, 0.552)

- Which value of total magnetization does entry 11 give?
  5.48 μB per formula unit

- Look up the total magnetization of the second one.
  0.00 μB per formula unit

- The highest VASP energy belongs to which entry?
  NaSr3In